# LiSmZnSi

Crystalline LiSmZnSi at its relaxed geometry (PBE, Alexandria via LeMat-Bulk).

Summary:
**Energy relative to the elements, uncorrected**: -1.4 eV/f.u.

abc: 4.823 4.823 4.823
angles: 60.00 60.00 60.00
Positions (direct):
1 Li 0.000 0.000 0.000
2 Sm 0.500 0.500 0.500
3 Zn 0.750 0.750 0.750
4 Si 0.250 0.250 0.250

***

# CsNiGe

Crystalline CsNiGe at its relaxed geometry (PBE, Alexandria via LeMat-Bulk).

abc: 4.212 4.212 11.568
angles: 90.00 90.00 90.00
Positions (direct):
1 Cs 0.250 0.250 0.222
2 Cs 0.750 0.750 0.778
3 Ni 0.250 0.750 0.500
4 Ni 0.750 0.250 0.500
5 Ge 0.250 0.250 0.593
6 Ge 0.750 0.750 0.407

***

# SrMgTeH2

Crystalline SrMgTeH2 at its relaxed geometry (PBE, Alexandria via LeMat-Bulk).

abc: 4.319 4.319 10.773
angles: 90.00 90.00 90.00
Positions (direct):
1 Sr 0.000 0.000 0.000
2 Mg 0.000 0.000 0.500
3 Te 0.500 0.500 0.000
4 H 0.000 0.500 0.500
5 H 0.500 0.000 0.500

***

# TbDy5Tm2In

Crystalline TbDy5Tm2In at its relaxed geometry (PBE, Alexandria via LeMat-Bulk).

abc: 10.339 10.339 10.483
angles: 90.00 90.00 150.08
Positions (direct):
1 Tb 0.206 0.794 0.750
2 Tb 0.794 0.206 0.250
3 Dy 0.012 0.988 0.750
4 Dy 0.289 0.711 0.050
5 Dy 0.289 0.711 0.450
6 Dy 0.382 0.618 0.750
7 Dy 0.500 0.500 0.000
8 Dy 0.500 0.500 0.500
9 Dy 0.618 0.382 0.250
10 Dy 0.711 0.289 0.550
11 Dy 0.711 0.289 0.950
12 Dy 0.988 0.012 0.250
13 Tm 0.116 0.884 0.040
14 Tm 0.116 0.884 0.460
15 Tm 0.884 0.116 0.540
16 Tm 0.884 0.116 0.960
17 In 0.405 0.595 0.250
18 In 0.595 0.405 0.750

***

# PrYNiAu

Crystalline PrYNiAu at its relaxed geometry (PBE, Alexandria via LeMat-Bulk).

abc: 5.076 5.076 5.076
angles: 60.00 60.00 60.00
Positions (direct):
1 Pr 0.000 0.000 0.000
2 Y 0.500 0.500 0.500
3 Ni 0.750 0.750 0.750
4 Au 0.250 0.250 0.250

***

# Nb2HgC

Crystalline Nb2HgC at its relaxed geometry (PBE, Alexandria via LeMat-Bulk).

abc: 5.593 5.593 5.593
angles: 107.80 107.80 112.87
Positions (direct):
1 Nb 0.040 0.625 0.915
2 Nb 0.375 0.290 0.415
3 Nb 0.710 0.125 0.085
4 Nb 0.875 0.960 0.585
5 Hg 0.250 0.750 0.500
6 Hg 0.500 0.500 0.000
7 C 0.000 0.000 0.000
8 C 0.750 0.250 0.500

***

| no. | calculated density (g/cm³) | electronic total energy (eV/cell) |
| --- | --- | --- |
| 1 | 5.25 | -14.69 |
| 2 | 4.28 | -23.42 |
| 3 | 2.00 | -14.38 |
| 4 | 8.46 | -78.64 |
| 5 | 8.72 | -22.30 |
| 6 | 9.85 | -56.85 |